(1)
An optimized crystal structure of LaPt2Au2. Source: Alexandria via LeMat-Bulk, functional PBE.

Cell and atoms, written as CIF:
```
data_LaPt2Au2
_symmetry_space_group_name_H-M 'P 1'
_symmetry_Int_Tables_number 1
_symmetry_space_group_name_Hall 'P 1'
_cell_length_a 7.061
_cell_length_b 7.061
_cell_length_c 7.061
_cell_angle_alpha 146.49
_cell_angle_beta 146.49
_cell_angle_gamma 48.12
loop_
_atom_site_label
_atom_site_type_symbol
_atom_site_fract_x
_atom_site_fract_y
_atom_site_fract_z
La1 La 0.000 0.000 0.000
Pt1 Pt 0.400 0.400 0.000
Pt2 Pt 0.600 0.600 0.000
Au1 Au 0.250 0.750 0.500
Au2 Au 0.750 0.250 0.500
```

Its total DFT energy (no corrections) is -26.77 eV per cell. Its relative energy among the computed polymorphs is 0 meV/atom. The calculation puts the formation energy from the elements at -0.642 eV per atom.



(2)
An optimized crystal structure of LaPtAu2. Source: Alexandria via LeMat-Bulk, functional PBE.

Cell and atoms, written as CIF:
```
data_LaPtAu2
_symmetry_space_group_name_H-M 'P 1'
_symmetry_Int_Tables_number 1
_symmetry_space_group_name_Hall 'P 1'
_cell_length_a 4.285
_cell_length_b 9.105
_cell_length_c 5.427
_cell_angle_alpha 90.00
_cell_angle_beta 113.21
_cell_angle_gamma 90.00
loop_
_atom_site_label
_atom_site_type_symbol
_atom_site_fract_x
_atom_site_fract_y
_atom_site_fract_z
La1 La 0.084 0.250 0.169
La2 La 0.916 0.750 0.831
Pt1 Pt 0.381 0.250 0.763
Pt2 Pt 0.619 0.750 0.237
Au1 Au 0.198 0.578 0.395
Au2 Au 0.198 0.922 0.395
Au3 Au 0.802 0.078 0.605
Au4 Au 0.802 0.422 0.605
```

Its total DFT energy (no corrections) is -39.83 eV per cell. Its relative energy among the computed polymorphs is 198 meV/atom. The calculation puts the formation energy from the elements at -0.599 eV per atom.



(3)
An optimized crystal structure of LaPt2Au6. Source: Alexandria via LeMat-Bulk, functional PBE.

Cell and atoms, written as CIF:
```
data_LaPt2Au6
_symmetry_space_group_name_H-M 'P 1'
_symmetry_Int_Tables_number 1
_symmetry_space_group_name_Hall 'P 1'
_cell_length_a 5.637
_cell_length_b 5.637
_cell_length_c 7.458
_cell_angle_alpha 90.00
_cell_angle_beta 90.00
_cell_angle_gamma 120.00
loop_
_atom_site_label
_atom_site_type_symbol
_atom_site_fract_x
_atom_site_fract_y
_atom_site_fract_z
La1 La 0.000 0.000 0.000
Pt1 Pt 0.333 0.667 0.500
Pt2 Pt 0.667 0.333 0.500
Au1 Au 0.000 0.500 0.201
Au2 Au 0.000 0.500 0.799
Au3 Au 0.500 0.000 0.201
Au4 Au 0.500 0.000 0.799
Au5 Au 0.500 0.500 0.201
Au6 Au 0.500 0.500 0.799
```

Its total DFT energy (no corrections) is -37.34 eV per cell. The calculation puts the formation energy from the elements at -0.074 eV per atom.



(4)
An optimized crystal structure of LaPt2Au2. Source: Alexandria via LeMat-Bulk, functional PBE.

Cell and atoms, written as CIF:
```
data_LaPt2Au2
_symmetry_space_group_name_H-M 'P 1'
_symmetry_Int_Tables_number 1
_symmetry_space_group_name_Hall 'P 1'
_cell_length_a 7.420
_cell_length_b 7.420
_cell_length_c 3.702
_cell_angle_alpha 90.00
_cell_angle_beta 90.00
_cell_angle_gamma 90.00
loop_
_atom_site_label
_atom_site_type_symbol
_atom_site_fract_x
_atom_site_fract_y
_atom_site_fract_z
La1 La 0.000 0.000 0.000
La2 La 0.500 0.500 0.000
Pt1 Pt 0.131 0.369 0.000
Pt2 Pt 0.369 0.869 0.000
Pt3 Pt 0.631 0.131 0.000
Pt4 Pt 0.869 0.631 0.000
Au1 Au 0.164 0.664 0.500
Au2 Au 0.336 0.164 0.500
Au3 Au 0.664 0.836 0.500
Au4 Au 0.836 0.336 0.500
```

Its total DFT energy (no corrections) is -52.45 eV per cell. Its relative energy among the computed polymorphs is 109 meV/atom. The calculation puts the formation energy from the elements at -0.532 eV per atom.



(5)
An optimized crystal structure of LaPt3Au. Source: Alexandria via LeMat-Bulk, functional PBE.

Cell and atoms, written as CIF:
```
data_LaPt3Au
_symmetry_space_group_name_H-M 'P 1'
_symmetry_Int_Tables_number 1
_symmetry_space_group_name_Hall 'P 1'
_cell_length_a 4.985
_cell_length_b 4.985
_cell_length_c 4.985
_cell_angle_alpha 90.00
_cell_angle_beta 90.00
_cell_angle_gamma 90.00
loop_
_atom_site_label
_atom_site_type_symbol
_atom_site_fract_x
_atom_site_fract_y
_atom_site_fract_z
La1 La 0.000 0.000 0.000
Pt1 Pt 0.000 0.500 0.500
Pt2 Pt 0.500 0.000 0.500
Pt3 Pt 0.500 0.500 0.000
Au1 Au 0.500 0.500 0.500
```

Its total DFT energy (no corrections) is -25.54 eV per cell. Its relative energy among the computed polymorphs is 0 meV/atom. The calculation puts the formation energy from the elements at 0.158 eV per atom.



(6)
An optimized crystal structure of LaPt2Au. Source: Alexandria via LeMat-Bulk, functional PBE.

Cell and atoms, written as CIF:
```
data_LaPt2Au
_symmetry_space_group_name_H-M 'P 1'
_symmetry_Int_Tables_number 1
_symmetry_space_group_name_Hall 'P 1'
_cell_length_a 5.254
_cell_length_b 5.254
_cell_length_c 5.254
_cell_angle_alpha 131.07
_cell_angle_beta 131.07
_cell_angle_gamma 71.70
loop_
_atom_site_label
_atom_site_type_symbol
_atom_site_fract_x
_atom_site_fract_y
_atom_site_fract_z
La1 La 0.000 0.000 0.000
Pt1 Pt 0.250 0.750 0.500
Pt2 Pt 0.750 0.250 0.500
Au1 Au 0.500 0.500 0.000
```

Its total DFT energy (no corrections) is -23.21 eV per cell. The calculation puts the formation energy from the elements at -0.732 eV per atom.



(7)
An optimized crystal structure of LaPtAu11. Source: Alexandria via LeMat-Bulk, functional PBE.

Cell and atoms, written as CIF:
```
data_LaPtAu11
_symmetry_space_group_name_H-M 'P 1'
_symmetry_Int_Tables_number 1
_symmetry_space_group_name_Hall 'P 1'
_cell_length_a 7.387
_cell_length_b 7.387
_cell_length_c 7.148
_cell_angle_alpha 98.04
_cell_angle_beta 98.04
_cell_angle_gamma 135.10
loop_
_atom_site_label
_atom_site_type_symbol
_atom_site_fract_x
_atom_site_fract_y
_atom_site_fract_z
La1 La 0.000 0.000 0.000
Pt1 Pt 0.000 0.000 0.500
Au1 Au 0.000 0.500 0.000
Au2 Au 0.012 0.670 0.650
Au3 Au 0.285 0.499 0.785
Au4 Au 0.330 0.988 0.350
Au5 Au 0.499 0.285 0.785
Au6 Au 0.500 0.000 0.000
Au7 Au 0.500 0.500 0.500
Au8 Au 0.501 0.715 0.215
Au9 Au 0.670 0.012 0.650
Au10 Au 0.715 0.501 0.215
Au11 Au 0.988 0.330 0.350
```

Its total DFT energy (no corrections) is -50.05 eV per cell. The calculation puts the formation energy from the elements at -0.233 eV per atom.



(8)
An optimized crystal structure of LaPtAu. Source: Alexandria via LeMat-Bulk, functional PBE.

Cell and atoms, written as CIF:
```
data_LaPtAu
_symmetry_space_group_name_H-M 'P 1'
_symmetry_Int_Tables_number 1
_symmetry_space_group_name_Hall 'P 1'
_cell_length_a 6.197
_cell_length_b 6.197
_cell_length_c 6.197
_cell_angle_alpha 139.75
_cell_angle_beta 105.90
_cell_angle_gamma 87.87
loop_
_atom_site_label
_atom_site_type_symbol
_atom_site_fract_x
_atom_site_fract_y
_atom_site_fract_z
La1 La 0.000 0.000 0.000
La2 La 0.571 0.071 0.500
Pt1 Pt 0.186 0.411 0.775
Pt2 Pt 0.636 0.411 0.225
Au1 Au 0.005 0.713 0.292
Au2 Au 0.421 0.713 0.708
```

Its total DFT energy (no corrections) is -34.03 eV per cell. The calculation puts the formation energy from the elements at -0.924 eV per atom.



(9)
An optimized crystal structure of La5Pt4Au. Source: Alexandria via LeMat-Bulk, functional PBE.

Cell and atoms, written as CIF:
```
data_La5Pt4Au
_symmetry_space_group_name_H-M 'P 1'
_symmetry_Int_Tables_number 1
_symmetry_space_group_name_Hall 'P 1'
_cell_length_a 11.383
_cell_length_b 11.383
_cell_length_c 11.383
_cell_angle_alpha 158.41
_cell_angle_beta 149.13
_cell_angle_gamma 37.99
loop_
_atom_site_label
_atom_site_type_symbol
_atom_site_fract_x
_atom_site_fract_y
_atom_site_fract_z
La1 La 0.000 0.000 0.000
La2 La 0.198 0.198 0.000
La3 La 0.392 0.392 0.000
La4 La 0.608 0.608 0.000
La5 La 0.802 0.802 0.000
Pt1 Pt 0.098 0.598 0.500
Pt2 Pt 0.297 0.797 0.500
Pt3 Pt 0.703 0.203 0.500
Pt4 Pt 0.902 0.402 0.500
Au1 Au 0.500 0.000 0.500
```

Its total DFT energy (no corrections) is -63.06 eV per cell. The calculation puts the formation energy from the elements at -1.098 eV per atom.



(10)
An optimized crystal structure of La5Pt2Au2. Source: Alexandria via LeMat-Bulk, functional PBE.

Cell and atoms, written as CIF:
```
data_La5Pt2Au2
_symmetry_space_group_name_H-M 'P 1'
_symmetry_Int_Tables_number 1
_symmetry_space_group_name_Hall 'P 1'
_cell_length_a 8.919
_cell_length_b 8.919
_cell_length_c 8.079
_cell_angle_alpha 90.00
_cell_angle_beta 90.00
_cell_angle_gamma 51.90
loop_
_atom_site_label
_atom_site_type_symbol
_atom_site_fract_x
_atom_site_fract_y
_atom_site_fract_z
La1 La 0.000 0.000 0.000
La2 La 0.036 0.701 0.670
La3 La 0.201 0.536 0.170
La4 La 0.299 0.964 0.670
La5 La 0.464 0.799 0.170
La6 La 0.500 0.500 0.500
La7 La 0.536 0.201 0.830
La8 La 0.701 0.036 0.330
La9 La 0.799 0.464 0.830
La10 La 0.964 0.299 0.330
Pt1 Pt 0.133 0.867 0.369
Pt2 Pt 0.367 0.633 0.869
Pt3 Pt 0.633 0.367 0.131
Pt4 Pt 0.867 0.133 0.631
Au1 Au 0.208 0.208 0.000
Au2 Au 0.292 0.292 0.500
Au3 Au 0.708 0.708 0.500
Au4 Au 0.792 0.792 0.000
```

Its total DFT energy (no corrections) is -102.51 eV per cell. The calculation puts the formation energy from the elements at -0.887 eV per atom.



(11)
An optimized crystal structure of LaPtAu2. Source: Alexandria via LeMat-Bulk, functional PBE.

Cell and atoms, written as CIF:
```
data_LaPtAu2
_symmetry_space_group_name_H-M 'P 1'
_symmetry_Int_Tables_number 1
_symmetry_space_group_name_Hall 'P 1'
_cell_length_a 3.840
_cell_length_b 3.840
_cell_length_c 5.917
_cell_angle_alpha 90.00
_cell_angle_beta 90.00
_cell_angle_gamma 90.00
loop_
_atom_site_label
_atom_site_type_symbol
_atom_site_fract_x
_atom_site_fract_y
_atom_site_fract_z
La1 La 0.000 0.000 0.000
Pt1 Pt 0.500 0.500 0.233
Au1 Au 0.000 0.000 0.494
Au2 Au 0.500 0.500 0.705
```

Its total DFT energy (no corrections) is -19.99 eV per cell. Its relative energy among the computed polymorphs is 180 meV/atom. The calculation puts the formation energy from the elements at -0.617 eV per atom.



(12)
An optimized crystal structure of LaPtAu2. Source: Alexandria via LeMat-Bulk, functional PBE.

Cell and atoms, written as CIF:
```
data_LaPtAu2
_symmetry_space_group_name_H-M 'P 1'
_symmetry_Int_Tables_number 1
_symmetry_space_group_name_Hall 'P 1'
_cell_length_a 10.908
_cell_length_b 10.908
_cell_length_c 10.908
_cell_angle_alpha 158.07
_cell_angle_beta 158.07
_cell_angle_gamma 31.21
loop_
_atom_site_label
_atom_site_type_symbol
_atom_site_fract_x
_atom_site_fract_y
_atom_site_fract_z
La1 La 0.000 0.000 0.000
La2 La 0.750 0.250 0.500
Pt1 Pt 0.250 0.750 0.500
Pt2 Pt 0.500 0.500 0.000
Au1 Au 0.149 0.625 0.024
Au2 Au 0.375 0.399 0.524
Au3 Au 0.601 0.125 0.976
Au4 Au 0.875 0.851 0.476
```

Its total DFT energy (no corrections) is -39.49 eV per cell. Its relative energy among the computed polymorphs is 242 meV/atom. The calculation puts the formation energy from the elements at -0.555 eV per atom.